{
  "formula": "VAs2AuBr",
  "functional": "PBE",
  "state": "optimized geometry",
  "magnetic_moment_mub_per_fu": 0.0,
  "e_above_lowest_polymorph_mev_per_atom": 0.0,
  "formation_energy_uncorrected_ev_per_atom": 0.376,
  "lattice": [[4.808, 0.000, 0.000], [0.000, 4.808, 0.000], [0.000, 0.000, 4.853]],
  "species": ["As", "As", "Au", "Br", "V"],
  "frac_coords": [[0.000, 0.500, 0.000], [0.500, 0.000, 0.000], [0.500, 0.500, 0.500], [0.000, 0.000, 0.500], [0.000, 0.000, 0.000]]
}


{
  "formula": "As2WAuBr",
  "functional": "PBE",
  "state": "optimized geometry",
  "magnetic_moment_mub_per_fu": 0.0,
  "e_above_lowest_polymorph_mev_per_atom": 0.0,
  "formation_energy_uncorrected_ev_per_atom": 0.661,
  "lattice": [[-4.183, -0.663, 2.443], [2.316, -2.907, 3.176], [1.069, 4.056, 2.931]],
  "species": ["As", "As", "Au", "Br", "W"],
  "frac_coords": [[0.000, 0.500, 0.000], [0.500, 0.000, 0.000], [0.500, 0.500, 0.500], [0.000, 0.000, 0.500], [0.000, 0.000, 0.000]]
}


{
  "formula": "YAs2AuBr",
  "functional": "PBE",
  "state": "optimized geometry",
  "magnetic_moment_mub_per_fu": 0.0,
  "e_above_lowest_polymorph_mev_per_atom": 0.0,
  "formation_energy_uncorrected_ev_per_atom": 0.072,
  "lattice": [[5.054, 0.000, 0.000], [0.000, 5.054, 0.000], [0.000, 0.000, 5.158]],
  "species": ["Y", "As", "As", "Au", "Br"],
  "frac_coords": [[0.500, 0.500, 0.500], [0.000, 0.500, 0.000], [0.500, 0.000, 0.000], [0.000, 0.000, 0.000], [0.000, 0.000, 0.500]]
}


{
  "formula": "YAs2AuBr",
  "functional": "PBE",
  "state": "optimized geometry",
  "magnetic_moment_mub_per_fu": 1.1,
  "e_above_lowest_polymorph_mev_per_atom": 192.1,
  "formation_energy_uncorrected_ev_per_atom": 0.264,
  "lattice": [[5.563, 0.000, 0.000], [0.000, 5.563, 0.000], [0.000, 0.000, 5.370]],
  "species": ["Y", "As", "As", "Au", "Br"],
  "frac_coords": [[0.000, 0.000, 0.000], [0.000, 0.500, 0.000], [0.500, 0.000, 0.000], [0.500, 0.500, 0.500], [0.000, 0.000, 0.500]]
}


{
  "formula": "ZnAs2AuBr",
  "functional": "PBE",
  "state": "optimized geometry",
  "magnetic_moment_mub_per_fu": 1.3,
  "e_above_lowest_polymorph_mev_per_atom": 12.3,
  "formation_energy_uncorrected_ev_per_atom": 0.732,
  "lattice": [[-4.327, -2.043, -1.703], [-0.620, -2.388, 4.440], [-2.762, 4.262, 1.906]],
  "species": ["As", "As", "Au", "Zn", "Br"],
  "frac_coords": [[0.000, 0.500, 0.000], [0.500, 0.000, 0.000], [0.000, 0.000, 0.000], [0.500, 0.500, 0.500], [0.000, 0.000, 0.500]]
}


{
  "formula": "ZnAsAuBr2",
  "functional": "PBE",
  "state": "optimized geometry",
  "magnetic_moment_mub_per_fu": 1.0,
  "e_above_lowest_polymorph_mev_per_atom": 32.6,
  "formation_energy_uncorrected_ev_per_atom": 0.473,
  "lattice": [[-2.392, 4.246, -1.260], [-4.254, -2.602, -0.693], [-1.263, 0.752, 4.931]],
  "species": ["As", "Au", "Zn", "Br", "Br"],
  "frac_coords": [[0.000, 0.000, 0.500], [0.500, 0.500, 0.500], [0.000, 0.000, 0.000], [0.000, 0.500, 0.000], [0.500, 0.000, 0.000]]
}


{
  "formula": "ZnAsAuBr2",
  "functional": "PBE",
  "state": "optimized geometry",
  "magnetic_moment_mub_per_fu": 1.3,
  "e_above_lowest_polymorph_mev_per_atom": 0.0,
  "formation_energy_uncorrected_ev_per_atom": 0.441,
  "lattice": [[5.351, 0.000, 0.000], [0.000, 5.351, 0.000], [0.000, 0.000, 5.147]],
  "species": ["As", "Au", "Zn", "Br", "Br"],
  "frac_coords": [[0.000, 0.000, 0.500], [0.000, 0.000, 0.000], [0.500, 0.500, 0.500], [0.000, 0.500, 0.000], [0.500, 0.000, 0.000]]
}


{
  "formula": "ZnAs2AuBr",
  "functional": "PBE",
  "state": "optimized geometry",
  "magnetic_moment_mub_per_fu": 0.3,
  "e_above_lowest_polymorph_mev_per_atom": 0.0,
  "formation_energy_uncorrected_ev_per_atom": 0.720,
  "lattice": [[-3.057, -3.746, -0.617], [3.703, -2.768, -1.542], [0.870, -1.497, 4.777]],
  "species": ["As", "As", "Au", "Zn", "Br"],
  "frac_coords": [[0.000, 0.500, 0.000], [0.500, 0.000, 0.000], [0.500, 0.500, 0.500], [0.000, 0.000, 0.000], [0.000, 0.000, 0.500]]
}